The following is a DFT calculation (PBEsol) of an optimized crystal structure of In12Ag17.

Cell and atoms, written as POSCAR:
```
In12Ag17
1.0
-5.201 5.201 5.201
5.201 -5.201 5.201
5.201 5.201 -5.201
In Ag
12 17
Cartesian
7.328 1.014 -1.014
7.328 -1.014 1.014
3.075 1.014 1.014
4.187 4.187 -2.126
4.187 -2.126 4.187
1.014 3.075 1.014
1.014 1.014 3.075
1.014 7.328 -1.014
1.014 -1.014 7.328
-1.014 7.328 1.014
-1.014 1.014 7.328
-2.126 4.187 4.187
0.000 0.000 0.000
1.685 1.685 -1.685
4.615 1.423 -1.423
1.685 -1.685 1.685
4.615 -1.423 1.423
5.787 1.423 1.423
1.423 4.615 -1.423
1.423 -1.423 4.615
-1.685 1.685 1.685
3.778 3.778 0.586
3.778 0.586 3.778
-1.423 4.615 1.423
-1.423 1.423 4.615
3.516 3.516 3.516
1.423 5.787 1.423
1.423 1.423 5.787
0.586 3.778 3.778
```

Computed properties:
DFT formation energy = 0.072 eV per atom
raw total energy = -3.10 eV/atom

The following is a DFT calculation (PBEsol) of an optimized crystal structure of InAg.

Cell and atoms, written as POSCAR:
```
InAg
1.0
1.678 -5.349 0.000
1.678 5.349 0.000
0.000 0.000 4.477
In Ag
2 2
Cartesian
1.678 3.687 3.358
1.678 -3.687 1.119
1.678 0.853 3.358
1.678 -0.853 1.119
```

Computed properties:
DFT formation energy = -0.031 eV per atom
raw total energy = -3.18 eV/atom

The following is a DFT calculation (PBEsol) of an optimized crystal structure of InAg.

Cell and atoms, written as POSCAR:
```
InAg
1.0
-2.118 2.118 4.376
2.118 -2.118 4.376
2.118 2.118 -4.376
In Ag
2 2
Cartesian
2.118 1.059 1.094
0.000 1.059 3.282
2.118 -1.059 3.282
0.000 3.177 1.094
```

Computed properties:
DFT formation energy = 0.005 eV per atom
raw total energy = -3.14 eV/atom

The following is a DFT calculation (PBEsol) of an optimized crystal structure of InAg5.

Cell and atoms, written as POSCAR:
```
InAg5
1.0
2.064 -6.077 0.000
2.064 6.077 0.000
0.000 0.000 4.133
In Ag
1 5
Cartesian
0.000 0.000 0.000
2.064 4.019 2.066
2.064 2.038 0.000
2.064 0.000 2.066
2.064 -2.038 0.000
2.064 -4.019 2.066
```

Computed properties:
ΔE to the lowest computed polymorph = 0.009 eV per atom
DFT formation energy = -0.043 eV per atom
raw total energy = -3.30 eV/atom

The following is a DFT calculation (PBEsol) of an optimized crystal structure of InAg5.

Cell and atoms, written as POSCAR:
```
InAg5
1.0
4.743 0.000 0.000
0.000 1.457 7.514
0.000 -1.457 7.514
In Ag
1 5
Cartesian
0.000 0.000 0.000
0.000 0.000 4.984
0.000 0.000 10.063
2.372 0.000 3.337
2.372 0.000 8.369
2.372 0.000 13.316
```

Computed properties:
ΔE to the lowest computed polymorph = 0.029 eV per atom
DFT formation energy = -0.023 eV per atom
raw total energy = -3.28 eV/atom

The following is a DFT calculation (PBEsol) of an optimized crystal structure of InAgIr.

Cell and atoms, written as POSCAR:
```
InAgIr
1.0
0.000 3.073 3.073
3.073 0.000 3.073
3.073 3.073 0.000
In Ag Ir
1 1 1
Cartesian
0.000 0.000 0.000
1.537 1.537 1.537
3.073 3.073 3.073
```

Computed properties:
DFT formation energy = 0.597 eV per atom
raw total energy = -4.78 eV/atom

The following is a DFT calculation (PBEsol) of an optimized crystal structure of In4AgIr.

Cell and atoms, written as POSCAR:
```
In4AgIr
1.0
0.000 3.986 3.986
3.986 0.000 3.986
3.986 3.986 0.000
In Ag Ir
4 1 1
Cartesian
0.999 0.999 0.999
2.987 2.987 0.999
2.987 0.999 2.987
0.999 2.987 2.987
5.980 5.980 5.980
3.986 3.986 3.986
```

Computed properties:
DFT formation energy = 0.676 eV per atom
raw total energy = -3.50 eV/atom

The following is a DFT calculation (PBEsol) of an optimized crystal structure of MnIn2AgIr.

Cell and atoms, written as POSCAR:
```
MnIn2AgIr
1.0
4.992 0.000 0.000
0.000 4.992 0.000
0.000 0.000 5.132
Mn In Ag Ir
1 2 1 1
Cartesian
0.000 0.000 0.000
0.000 2.496 2.566
2.496 0.000 2.566
2.496 2.496 0.000
2.496 2.496 2.566
```

Computed properties:
DFT formation energy = 0.813 eV per atom
raw total energy = -4.96 eV/atom